Compound: MnReTc2Pd
Source: the Alexandria database
Functional: GGA-PBE
Structure: relaxed

* DFT total energy: -0.5519 Ry/atom
* M_tot: 1.164 Bohr magnetons per cell
* formation enthalpy at 0 K: 46.125 kcal/mol of atoms

a b c (Å): 4.633 4.633 4.797
angles (deg): 90.00 90.00 90.00
Element x y z (fractional)
Mn: 0.000 0.000 0.000
Re: 0.500 0.500 0.500
Tc: 0.000 0.500 0.500
Tc: 0.500 0.000 0.500
Pd: 0.500 0.500 0.000